No. 1
Computed, not measured: a relaxed structure of AlAg2Hg at the PBE-GGA level of DFT.

## Properties
space group = No. 160
E_form = 0.056 eV per atom

a b c (Å): 9.289 9.289 9.289
angles (deg): 19.25 19.25 19.25
Fractional positions:
Hg  0.753  0.753  0.753
Ag  0.997  0.997  0.997
Ag  0.246  0.246  0.246
Al  0.504  0.504  0.504

***

No. 2
Computed, not measured: a relaxed structure of AlAg6Hg at the PBE-GGA level of DFT.

## Properties
space group = No. 123
E_form = 0.005 eV per atom

a b c (Å): 4.184 4.184 8.262
angles (deg): 90.00 90.00 90.00
Fractional positions:
Al  0.000  0.000  0.500
Ag  0.500  0.500  0.000
Ag  0.500  0.500  0.500
Ag  0.500  0.000  0.262
Ag  0.500  0.000  0.738
Ag  0.000  0.500  0.262
Ag  0.000  0.500  0.738
Hg  0.000  0.000  0.000

***

No. 3
Computed, not measured: a relaxed structure of Al2AgHg at the PBE-GGA level of DFT.

## Properties
space group = No. 71
E_form = 0.143 eV per atom

a b c (Å): 5.992 5.992 5.992
angles (deg): 152.49 128.38 59.49
Fractional positions:
Hg  0.750  0.250  0.500
Ag  0.250  0.750  0.500
Al  0.014  0.014  0.000
Al  0.486  0.486  0.000

***

No. 4
Computed, not measured: a relaxed structure of AlAg2Hg at the PBE-GGA level of DFT.

## Properties
space group = No. 225
E_form = 0.106 eV per atom

a b c (Å): 4.731 4.731 4.731
angles (deg): 60.00 60.00 60.00
Fractional positions:
Hg  0.500  0.500  0.500
Ag  0.250  0.250  0.250
Ag  0.750  0.750  0.750
Al  0.000  0.000  0.000

***

No. 5
Computed, not measured: a relaxed structure of AlAgHg2 at the PBE-GGA level of DFT.

## Properties
space group = No. 6
E_form = 0.125 eV per atom

a b c (Å): 4.481 3.679 5.273
angles (deg): 77.37 90.00 90.00
Fractional positions:
Hg  0.000  0.020  0.930
Hg  0.500  0.230  0.312
Ag  0.000  0.671  0.476
Al  0.500  0.578  0.783

***

No. 6
Computed, not measured: a relaxed structure of Al2AgHg at the PBE-GGA level of DFT.

## Properties
space group = No. 10
E_form = 0.126 eV per atom

a b c (Å): 4.825 3.118 5.234
angles (deg): 98.56 90.00 90.00
Fractional positions:
Hg  0.500  0.250  0.250
Ag  0.500  0.750  0.750
Al  0.000  0.067  0.976
Al  0.000  0.433  0.524

***

No. 7
Computed, not measured: a relaxed structure of AlAg12Hg3 at the PBE-GGA level of DFT.

## Properties
space group = No. 123
E_form = 0.025 eV per atom

a b c (Å): 4.175 4.175 17.006
angles (deg): 90.00 90.00 90.00
Fractional positions:
Al  0.000  0.000  0.000
Ag  0.500  0.500  0.000
Ag  0.500  0.500  0.244
Ag  0.500  0.500  0.500
Ag  0.500  0.500  0.756
Ag  0.500  0.000  0.116
Ag  0.500  0.000  0.372
Ag  0.500  0.000  0.628
Ag  0.500  0.000  0.884
Ag  0.000  0.500  0.116
Ag  0.000  0.500  0.372
Ag  0.000  0.500  0.628
Ag  0.000  0.500  0.884
Hg  0.000  0.000  0.244
Hg  0.000  0.000  0.500
Hg  0.000  0.000  0.756

***

No. 8
Computed, not measured: a relaxed structure of AlAg2Hg at the PBE-GGA level of DFT.

## Properties
space group = No. 35
E_form = 0.080 eV per atom

a b c (Å): 3.011 3.011 8.293
angles (deg): 90.00 90.00 90.40
Fractional positions:
Hg  0.500  0.500  0.744
Ag  0.000  0.000  0.014
Ag  0.500  0.500  0.262
Al  0.000  0.000  0.480